VASP calculation (PBE with a Hubbard U) on a relaxed KHoCoSi2O7 crystal.

Values from the calculation:
* ρ: 4.3 g/cm3
* E: -86.88 eV per formula unit
* spin magnetization: 0.1 Bohr magnetons per cell

Cell lengths 8.1020, 9.9824, 8.5948 Å; angles 90.00, 108.08, 90.00 degrees
Last column: nearest neighbours and their distance in Å.
Space group C2 (No. 5)
Symmetry-distinct sites (fractional):
K1 0.2062 0.0000 0.2636  5 O 2.64-2.84
Ho1 0.2472 0.5744 0.1990  3 O 2.14-2.38
Co1 0.0000 0.2959 0.0000  4 O 2.00-2.03
Co2 0.0000 0.7846 0.5000  4 O 1.97-1.99
Si1 0.0719 0.3436 0.3534  4 O 1.64-1.68
Si2 0.1033 0.7576 0.8726  4 O 1.61-1.70
O1 0.0000 0.4103 0.5000  2 Si 1.68
O2 0.0000 0.6938 0.0000  2 Si 1.70
O3 0.0074 0.4299 0.1793  1 Si 1.66
O4 0.0086 0.1925 0.6842  1 Si 1.64
O5 0.0324 0.7033 0.3005  1 Si 1.64
O6 0.1211 0.9179 0.8854  1 Si 1.61
O7 0.2116 0.1816 0.0427  1 Si 1.64
O8 0.2196 0.8828 0.5884  1 Si 1.65